# PuNpSnBi, relaxed, DFT PBE
data_PuNpSnBi
_cell_length_a 7.646
_cell_length_b 7.646
_cell_length_c 7.646
_cell_angle_alpha 90.00
_cell_angle_beta 90.00
_cell_angle_gamma 90.00
_symmetry_space_group_name_H-M 'F -4 3 m'
_symmetry_Int_Tables_number 216
_symmetry_space_group_name_Hall 'F -4 2 3'
loop_
_atom_site_label
_atom_site_type_symbol
_atom_site_fract_x
_atom_site_fract_y
_atom_site_fract_z
Pu1 Pu 0.000 0.000 0.000
Np1 Np 0.000 0.000 0.500
Sn1 Sn 0.250 0.250 0.750
Bi1 Bi 0.250 0.250 0.250
# * energy relative to the elements: 0.1 eV/f.u.
# * calculated total energy: -8.75 eV per atom